No. 1
Tb2PmDy3Sb6 after structural relaxation. Source: Alexandria via LeMat-Bulk, functional PBE.

```
Tb2PmDy3Sb6
1.0
9.6056 -2.2044 0.0000
9.6056 2.2044 0.0000
-2.0148 0.0000 8.5821
Tb Pm Dy Sb
2 1 3 6
direct
0.1671 0.1671 0.3334
0.8329 0.8329 0.6666
0.5000 0.5000 0.0000
0.1660 0.1660 0.8325
0.5000 0.5000 0.5000
0.8340 0.8340 0.1675
0.0001 0.0001 0.2549
0.9999 0.9999 0.7451
0.3314 0.3314 0.9167
0.3337 0.3337 0.4164
0.6663 0.6663 0.5836
0.6686 0.6686 0.0833
```

The calculation puts the total moment at 0.0 μB per cell. For the total energy, the calculation gives -5.52 eV per atom. For the raw formation energy, the calculation gives -110.5 kJ per mole of atoms. The density of states at the Fermi level comes out at 1.9 states/eV/cell. The value obtained for the calculated density is 7680 kg/m³.

No. 2
Tb2Pm3DySb6 after structural relaxation. Source: Alexandria via LeMat-Bulk, functional PBE.

```
Tb2Pm3DySb6
1.0
9.6824 -2.2228 0.0000
9.6824 2.2228 0.0000
-2.0281 0.0000 8.6509
Tb Pm Dy Sb
2 3 1 6
direct
0.1665 0.1665 0.3330
0.8335 0.8335 0.6670
0.1669 0.1669 0.8332
0.5000 0.5000 0.5000
0.8331 0.8331 0.1668
0.5000 0.5000 0.0000
0.0012 0.0012 0.2458
0.3320 0.3320 0.4201
0.3350 0.3350 0.9138
0.6650 0.6650 0.0862
0.6680 0.6680 0.5799
0.9988 0.9988 0.7542
```

The calculation puts the total moment at 0.0 μB per cell. For the total energy, the calculation gives -5.57 eV per atom. For the raw formation energy, the calculation gives -112.3 kJ per mole of atoms. The density of states at the Fermi level comes out at 1.9 states/eV/cell. The value obtained for the calculated density is 7340 kg/m³.

No. 3
Pm2DyThSb4 after structural relaxation. Source: Alexandria via LeMat-Bulk, functional PBE.

```
Pm2DyThSb4
1.0
7.7307 0.0000 0.0000
0.0000 4.4783 0.0000
-2.5844 0.0000 7.3081
Pm Dy Th Sb
2 1 1 4
direct
0.0000 0.0000 0.0000
0.5000 0.5000 0.0000
0.0000 0.5000 0.5000
0.5000 0.0000 0.5000
0.2452 0.0000 0.7453
0.2467 0.5000 0.2516
0.7533 0.5000 0.7484
0.7548 0.0000 0.2547
```

The calculation puts the total moment at 0.0 μB per cell. For the total energy, the calculation gives -5.87 eV per atom. For the raw formation energy, the calculation gives -108.1 kJ per mole of atoms. The density of states at the Fermi level comes out at 1.7 states/eV/cell. The value obtained for the calculated density is 7689 kg/m³.

> Number 3 is which compound?

Pm2DyThSb4

> Among the records above, which one has the lowest total energy?

Pm2DyThSb4

Please write out number 1 again, unchanged.
Tb2PmDy3Sb6 after structural relaxation. Source: Alexandria via LeMat-Bulk, functional PBE.

```
Tb2PmDy3Sb6
1.0
9.6056 -2.2044 0.0000
9.6056 2.2044 0.0000
-2.0148 0.0000 8.5821
Tb Pm Dy Sb
2 1 3 6
direct
0.1671 0.1671 0.3334
0.8329 0.8329 0.6666
0.5000 0.5000 0.0000
0.1660 0.1660 0.8325
0.5000 0.5000 0.5000
0.8340 0.8340 0.1675
0.0001 0.0001 0.2549
0.9999 0.9999 0.7451
0.3314 0.3314 0.9167
0.3337 0.3337 0.4164
0.6663 0.6663 0.5836
0.6686 0.6686 0.0833
```

The calculation puts the total moment at 0.0 μB per cell. For the total energy, the calculation gives -5.52 eV per atom. For the raw formation energy, the calculation gives -110.5 kJ per mole of atoms. The density of states at the Fermi level comes out at 1.9 states/eV/cell. The value obtained for the calculated density is 7680 kg/m³.